No. 1
SeBrN2, optimized geometry, DFT GGA-PBE; polymorph energy (0 for the lowest one) = 0.427 eV/atom; calculated density = 3.752 Mg/m³; raw total energy = -0.265 Ry/atom
1.0
6.349 -2.413 0.939
6.202 -1.160 -2.684
6.723 1.330 0.187
Br Se N
1 1 2
direct
0.500 0.500 0.500
0.000 0.000 0.000
0.910 0.910 0.910
0.090 0.090 0.090


No. 2
Se2BrN2, optimized geometry, DFT GGA-PBE; polymorph energy (0 for the lowest one) = 1.167 eV/atom; calculated density = 3.778 Mg/m³; raw total energy = -0.226 Ry/atom
1.0
3.823 0.000 0.000
0.000 3.823 0.000
0.000 0.000 7.995
N Se Br
2 2 1
direct
0.000 0.500 0.000
0.500 0.000 0.000
0.500 0.500 0.500
0.000 0.000 0.500
0.000 0.000 0.000


No. 3
SeBrN2, optimized geometry, DFT GGA-PBE; polymorph energy (0 for the lowest one) = 1.129 eV/atom; calculated density = 5.965 Mg/m³; raw total energy = -0.213 Ry/atom
1.0
0.000 2.963 2.963
2.963 0.000 2.963
2.963 2.963 0.000
N Se Br
2 1 1
direct
0.250 0.250 0.250
0.750 0.750 0.750
0.000 0.000 0.000
0.500 0.500 0.500


No. 4
SeBr4N2, optimized geometry, DFT GGA-PBE; calculated density = 2.775 Mg/m³; raw total energy = -0.208 Ry/atom
1.0
-3.504 -2.446 3.560
1.510 -7.589 12.410
-2.041 3.737 2.177
N Br Se
2 4 1
direct
0.516 0.332 0.559
0.484 0.668 0.441
0.181 0.330 0.666
0.819 0.670 0.334
0.959 0.174 0.222
0.041 0.826 0.778
0.000 0.000 0.000


No. 5
Se2BrN2, optimized geometry, DFT GGA-PBE; polymorph energy (0 for the lowest one) = 1.743 eV/atom; calculated density = 3.960 Mg/m³; raw total energy = -0.183 Ry/atom
1.0
5.405 0.000 0.000
0.000 5.405 0.000
0.000 0.000 3.815
N Se Br
2 2 1
direct
0.500 0.500 0.500
0.000 0.000 0.500
0.000 0.500 0.000
0.500 0.000 0.000
0.000 0.000 0.000


No. 6
SeBrN, optimized geometry, DFT GGA-PBE; calculated density = 3.113 Mg/m³; raw total energy = -0.290 Ry/atom
1.0
-3.788 0.153 -3.512
3.098 0.737 -3.505
1.110 -7.824 2.109
N Se Br
2 2 2
direct
0.374 0.853 0.295
0.172 0.396 0.380
0.408 0.214 0.273
0.140 0.778 0.403
0.528 0.259 0.840
0.017 0.352 0.825


No. 7
Se2Br3N2, optimized geometry, DFT GGA-PBE; calculated density = 3.634 Mg/m³; raw total energy = -0.250 Ry/atom
1.0
6.150 -1.353 -1.738
-2.766 8.372 3.907
-10.065 8.584 9.482
Se N Br
2 2 3
direct
0.526 0.683 0.969
0.474 0.317 0.031
0.151 0.889 0.496
0.849 0.111 0.504
0.444 0.544 0.682
0.000 0.000 0.000
0.556 0.456 0.318


No. 8
SeBr2N, optimized geometry, DFT GGA-PBE; polymorph energy (0 for the lowest one) = 0.094 eV/atom; calculated density = 4.173 Mg/m³; raw total energy = -0.178 Ry/atom
1.0
2.202 0.000 7.987
-1.101 1.907 7.987
-1.101 -1.907 7.987
Br Se N
2 1 1
direct
0.920 0.920 0.920
0.080 0.080 0.080
0.500 0.500 0.500
0.000 0.000 0.000


No. 9
SeBrN2, optimized geometry, DFT GGA-PBE; polymorph energy (0 for the lowest one) = 0.286 eV/atom; calculated density = 4.727 Mg/m³; raw total energy = -0.275 Ry/atom
1.0
5.879 0.000 0.000
0.000 5.879 0.000
2.940 2.940 3.798
N Br Se
4 2 2
direct
0.875 0.765 0.750
0.235 0.625 0.250
0.375 0.485 0.750
0.515 0.125 0.250
0.000 0.000 0.000
0.750 0.250 0.500
0.250 0.750 0.500
0.500 0.500 0.000


No. 10
SeBr2N, optimized geometry, DFT GGA-PBE; polymorph energy (0 for the lowest one) = 0.000 eV/atom; calculated density = 3.759 Mg/m³; raw total energy = -0.185 Ry/atom
1.0
6.802 0.000 0.000
0.000 6.802 0.000
3.401 3.401 4.827
Br Se N
4 2 2
direct
0.875 0.625 0.750
0.375 0.625 0.750
0.375 0.625 0.250
0.375 0.125 0.250
0.000 0.000 0.000
0.750 0.250 0.500
0.500 0.500 0.000
0.250 0.750 0.500


No. 11
Se2BrN2, optimized geometry, DFT GGA-PBE; polymorph energy (0 for the lowest one) = 0.734 eV/atom; calculated density = 4.129 Mg/m³; raw total energy = -0.257 Ry/atom
1.0
3.801 0.000 0.000
0.000 3.801 0.000
0.000 0.000 7.401
Br Se N
1 2 2
direct
0.500 0.500 0.500
0.000 0.000 0.000
0.000 0.000 0.500
0.000 0.500 0.000
0.500 0.000 0.000


No. 12
Se2BrN, optimized geometry, DFT GGA-PBE; polymorph energy (0 for the lowest one) = 1.322 eV/atom; calculated density = 5.909 Mg/m³; raw total energy = -0.178 Ry/atom
1.0
0.000 3.283 3.283
3.283 0.000 3.283
3.283 3.283 0.000
N Se Br
1 2 1
direct
0.000 0.000 0.000
0.750 0.750 0.750
0.250 0.250 0.250
0.500 0.500 0.500


No. 13
Se2BrN, optimized geometry, DFT GGA-PBE; polymorph energy (0 for the lowest one) = 0.372 eV/atom; calculated density = 4.650 Mg/m³; raw total energy = -0.248 Ry/atom
1.0
5.330 0.000 0.000
0.000 5.330 0.000
2.665 2.665 6.330
Br Se N
2 4 2
direct
0.750 0.250 0.500
0.000 0.000 0.000
0.375 0.563 0.750
0.875 0.687 0.750
0.313 0.625 0.250
0.437 0.125 0.250
0.500 0.500 0.000
0.250 0.750 0.500


No. 14
Se3BrN, optimized geometry, DFT GGA-PBE; polymorph energy (0 for the lowest one) = 0.806 eV/atom; calculated density = 3.746 Mg/m³; raw total energy = -0.159 Ry/atom
1.0
5.273 0.000 0.000
0.000 5.273 0.000
0.000 0.000 5.273
Se Br N
3 1 1
direct
0.500 0.000 0.000
0.000 0.500 0.000
0.000 0.000 0.500
0.000 0.000 0.000
0.500 0.500 0.500


No. 15
SeBrN2, optimized geometry, DFT GGA-PBE; polymorph energy (0 for the lowest one) = 0.000 eV/atom; calculated density = 5.256 Mg/m³; raw total energy = -0.296 Ry/atom
1.0
0.100 6.517 -0.784
-0.801 6.076 2.354
2.381 5.926 1.518
N Se Br
2 1 1
direct
0.889 0.889 0.889
0.111 0.111 0.111
0.500 0.500 0.500
0.000 0.000 0.000


No. 16
SiSeBrN2, optimized geometry, DFT GGA-PBE; polymorph energy (0 for the lowest one) = 0.000 eV/atom; calculated density = 4.394 Mg/m³; raw total energy = -0.344 Ry/atom
1.0
3.584 0.000 0.000
0.000 3.584 0.000
0.000 0.000 6.324
Se Si N Br
1 1 2 1
direct
0.000 0.000 0.500
0.000 0.000 0.000
0.500 0.000 0.000
0.000 0.500 0.000
0.500 0.500 0.500


No. 17
SiSeBrN2, optimized geometry, DFT GGA-PBE; polymorph energy (0 for the lowest one) = 1.314 eV/atom; calculated density = 3.424 Mg/m³; raw total energy = -0.248 Ry/atom
1.0
3.811 0.000 0.000
0.000 3.811 0.000
0.000 0.000 7.177
Si Br Se N
1 1 1 2
direct
0.500 0.500 0.500
0.000 0.000 0.000
0.000 0.000 0.500
0.000 0.500 0.000
0.500 0.000 0.000


No. 18
ZnSiSeBrN, optimized geometry, DFT GGA-PBE; polymorph energy (0 for the lowest one) = 0.332 eV/atom; calculated density = 4.162 Mg/m³; raw total energy = -0.303 Ry/atom
1.0
-3.257 0.400 -0.489
-1.091 -1.925 -5.321
-1.634 -6.144 -0.288
Zn N Se Si Br
1 1 1 1 1
direct
0.890 0.901 0.693
0.569 0.756 0.274
0.894 0.566 0.089
0.040 0.752 0.383
0.215 0.251 0.701


No. 19
ZnSiSeBrN, optimized geometry, DFT GGA-PBE; polymorph energy (0 for the lowest one) = 0.303 eV/atom; calculated density = 3.245 Mg/m³; raw total energy = -0.305 Ry/atom
1.0
4.496 0.005 0.011
0.758 4.819 -0.008
1.482 1.560 6.293
Br Zn N Se Si
1 1 1 1 1
direct
0.758 0.554 0.770
0.245 0.737 0.044
0.150 0.347 0.151
0.451 0.064 0.256
0.946 0.185 0.031


No. 20
ZnSiSeBrN, optimized geometry, DFT GGA-PBE; polymorph energy (0 for the lowest one) = 0.000 eV/atom; calculated density = 3.489 Mg/m³; raw total energy = -0.328 Ry/atom
1.0
-0.797 -4.765 3.257
-1.159 -1.750 -2.844
6.150 0.558 -2.849
Br Se Zn Si N
1 1 1 1 1
direct
0.319 0.000 0.274
0.021 0.500 0.744
0.689 0.500 0.891
0.294 0.000 0.933
0.565 0.000 0.905